Record 1
A geometry-optimized Ac2U3S8 structure. Source: the Alexandria database, functional PBE.

Lattice parameters (Å, degrees): 9.620 14.135 4.779 90.00 90.00 90.00
Space group Cmmm (No. 65)
One atom of each set of equivalent atoms:
Ac (0.000, 0.234, 0.000) [4 per cell]
U (0.000, 0.500, 0.000) [2 per cell]
U (0.232, 0.000, 0.500) [4 per cell]
S (0.000, 0.115, 0.500) [4 per cell]
S (0.000, 0.390, 0.500) [4 per cell]
S (0.237, 0.386, 0.000) [8 per cell]

The value obtained for the relative energy among the computed polymorphs is 0.005 eV per atom. For the calculated total energy, the calculation gives -7.423 eV/atom. For the total magnetization, the calculation gives 16.00 Bohr magnetons per cell. The formation energy from raw total energies is -1.646 eV per atom. The calculation puts the density of states at the Fermi level at 1.38 states/eV/atom.

Record 2
A geometry-optimized AcU3S8 structure. Source: the Alexandria database, functional PBE.

Lattice parameters (Å, degrees): 7.9971 7.9971 21.6247 90.00 90.00 120.00
Space group R-3m (No. 166, hexagonal axes)
One atom of each set of equivalent atoms:
Ac (0.0000, 0.0000, 0.0000) [3 per cell]
U (0.0000, 0.5000, 0.5000) [9 per cell]
S (0.0000, 0.0000, 0.2313) [6 per cell]
S (0.0279, 0.5140, 0.7649) [18 per cell]

For the calculated total energy, the calculation gives -7.377 eV/atom. For the total magnetization, the calculation gives 15.00 Bohr magnetons per cell. The formation energy from raw total energies is -1.461 eV per atom. The calculation puts the density of states at the Fermi level at 1.30 states/eV/atom.

- Which value of calculated total energy does entry 2 give?
  -7.377 eV/atom